{"formula": "Nb3CdMo", "functional": "GGA-PBE", "state": "optimized geometry", "lattice_angstrom": [[4.856, 0.000, 0.000], [0.000, 4.856, 0.000], [0.000, 0.000, 4.856]], "species": ["Nb", "Nb", "Nb", "Cd", "Mo"], "frac_coords": [[0.000, 0.000, 0.500], [0.000, 0.500, 0.000], [0.500, 0.000, 0.000], [0.500, 0.500, 0.500], [0.000, 0.000, 0.000]], "dos_ef_per_ev_atom": 0.774, "relative_energy_mev_per_atom": 0, "magnetic_moment_mub_per_cell": 0.000}